1.
Cs4PbCl6 | the Alexandria database | meta-GGA SCAN | single point on PBEsol structure; energy = -593.2 eV per cell; formation energy without anion corrections = -1.97 eV/atom; crystal system = trigonal
1.0
9.312 0.030 0.029
0.148 9.311 0.029
0.148 0.147 9.310
Cl Cs Pb
12 8 2
Direct
0.207 0.426 0.563
0.426 0.563 0.207
0.563 0.207 0.426
0.293 0.937 0.074
0.074 0.293 0.937
0.937 0.074 0.293
0.793 0.574 0.437
0.574 0.437 0.793
0.437 0.793 0.574
0.707 0.063 0.926
0.926 0.707 0.063
0.063 0.926 0.707
0.250 0.250 0.250
0.750 0.750 0.750
0.624 0.876 0.250
0.876 0.250 0.624
0.250 0.624 0.876
0.376 0.124 0.750
0.124 0.750 0.376
0.750 0.376 0.124
0.500 0.500 0.500
0.000 0.000 0.000



2.
CsPbCl3 | the Alexandria database | meta-GGA SCAN | single point on PBEsol structure; energy = -145.8 eV per cell; formation energy without anion corrections = -1.65 eV/atom; crystal system = cubic
1.0
-3.431 -1.303 4.237
3.756 -3.699 1.904
2.354 4.005 3.137
Pb Cs Cl
1 1 3
Direct
0.500 0.500 0.500
0.000 0.000 0.000
0.000 0.500 0.500
0.500 0.000 0.500
0.500 0.500 0.000



3.
CsPbCl2 | the Alexandria database | meta-GGA SCAN | single point on PBEsol structure; energy = -134.5 eV per cell; formation energy without anion corrections = -1.23 eV/atom; crystal system = trigonal
1.0
4.070 0.000 0.000
2.035 3.525 0.000
2.035 1.175 10.069
Pb Cs Cl
1 1 2
Direct
0.000 0.000 0.000
0.500 0.500 0.500
0.909 0.909 0.272
0.091 0.091 0.728



4.
CsPbCl3 | the Alexandria database | meta-GGA SCAN | single point on PBEsol structure; energy = -291.7 eV per cell; formation energy without anion corrections = -1.66 eV/atom; crystal system = tetragonal
1.0
5.686 0.000 0.000
0.000 7.754 0.000
0.000 0.000 7.754
Cs Pb Cl
2 2 6
Direct
0.500 0.500 0.000
0.500 0.000 0.500
0.000 0.500 0.500
0.000 0.000 0.000
0.000 0.186 0.314
0.500 0.000 0.000
0.500 0.500 0.500
0.000 0.686 0.186
0.000 0.314 0.814
0.000 0.814 0.686



5.
Cs3PbCl | the Alexandria database | meta-GGA SCAN | single point on PBEsol structure; energy = -201.5 eV per cell; formation energy without anion corrections = -0.86 eV/atom; crystal system = cubic
1.0
-3.062 -5.368 -1.979
2.418 0.820 -5.966
5.185 -3.552 1.613
Pb Cs Cl
1 3 1
Direct
0.500 0.500 0.500
0.000 0.500 0.000
0.000 0.000 0.500
0.500 0.000 0.000
0.000 0.000 0.000



6.
Cs2Ta6PbCl18 | the Alexandria database | meta-GGA SCAN | single point on PBEsol structure; energy = -736.1 eV per cell; formation energy without anion corrections = -1.54 eV/atom; crystal system = trigonal
1.0
-1.975 6.997 6.057
-8.803 3.425 0.566
-5.469 -2.360 8.335
Cs Ta Pb Cl
2 6 1 18
Direct
0.276 0.276 0.172
0.724 0.724 0.828
0.646 0.300 0.635
0.700 0.581 0.365
0.581 0.354 0.365
0.300 0.419 0.635
0.354 0.700 0.365
0.419 0.646 0.635
0.000 0.000 0.000
0.771 0.090 0.498
0.090 0.640 0.498
0.640 0.771 0.498
0.042 0.324 0.809
0.578 0.435 0.823
0.174 0.958 0.191
0.360 0.229 0.502
0.835 0.422 0.177
0.565 0.835 0.177
0.676 0.174 0.191
0.958 0.676 0.191
0.324 0.826 0.809
0.826 0.042 0.809
0.910 0.360 0.502
0.435 0.165 0.823
0.165 0.578 0.823
0.229 0.910 0.502
0.422 0.565 0.177



7.
CsTa6PbCl18 | the Alexandria database | meta-GGA SCAN | single point on PBEsol structure; energy = -1390.4 eV per cell; formation energy without anion corrections = -1.48 eV/atom; crystal system = trigonal
1.0
-0.530 -8.049 4.563
7.246 1.733 -5.512
8.416 6.957 13.251
Cs Ta Pb Cl
2 12 2 36
Direct
0.333 0.667 0.250
0.667 0.333 0.750
0.193 0.027 0.069
0.166 0.193 0.931
0.807 0.834 0.569
0.807 0.973 0.931
0.834 0.807 0.069
0.027 0.193 0.569
0.193 0.166 0.431
0.973 0.807 0.431
0.834 0.027 0.431
0.166 0.973 0.569
0.027 0.834 0.931
0.973 0.166 0.069
0.333 0.667 0.750
0.667 0.333 0.250
0.162 0.742 0.500
0.945 0.569 0.344
0.580 0.742 0.000
0.258 0.420 0.500
0.838 0.580 0.000
0.838 0.258 0.500
0.774 0.805 0.338
0.031 0.226 0.338
0.376 0.431 0.844
0.805 0.774 0.838
0.969 0.195 0.838
0.431 0.055 0.156
0.420 0.258 0.000
0.624 0.055 0.344
0.580 0.838 0.500
0.162 0.420 0.000
0.569 0.624 0.656
0.226 0.195 0.662
0.420 0.162 0.500
0.195 0.226 0.162
0.742 0.580 0.500
0.376 0.945 0.656
0.055 0.624 0.844
0.055 0.431 0.656
0.226 0.031 0.838
0.031 0.805 0.162
0.431 0.376 0.344
0.774 0.969 0.162
0.742 0.162 0.000
0.805 0.031 0.662
0.624 0.569 0.156
0.945 0.376 0.156
0.195 0.969 0.338
0.569 0.945 0.844
0.969 0.774 0.662
0.258 0.838 0.000



8.
Cs2PdCl4 | the Alexandria database | meta-GGA SCAN | single point on PBEsol structure; energy = -151.4 eV per cell; formation energy without anion corrections = -1.59 eV/atom; crystal system = tetragonal
1.0
4.609 0.000 0.000
0.000 7.370 0.000
0.000 0.000 7.370
Cs Pd Cl
2 1 4
Direct
0.500 0.500 0.000
0.500 0.000 0.500
0.000 0.000 0.000
0.000 0.780 0.780
0.000 0.220 0.780
0.000 0.780 0.220
0.000 0.220 0.220